1.
This record from Alexandria via LeMat-Bulk describes a relaxed ReB3Pd crystal. The functional is PBE.

crystal system: cubic
calculated formation energy: 1.963 eV per atom

Cell: 3.975 3.975 3.975 Å, 90.00 90.00 90.00°
Positions (direct):
Re 0.500 0.500 0.500
B 0.000 0.500 0.000
B 0.000 0.000 0.500
B 0.500 0.000 0.000
Pd 0.000 0.000 0.000



2.
This record from Alexandria via LeMat-Bulk describes a relaxed Re3BPd crystal. The functional is PBE.

crystal system: cubic
calculated formation energy: 3.525 eV per atom

Cell: 4.698 4.698 4.698 Å, 90.00 90.00 90.00°
Positions (direct):
Re 0.000 0.500 0.000
Re 0.000 0.000 0.500
Re 0.500 0.000 0.000
B 0.500 0.500 0.500
Pd 0.000 0.000 0.000



3.
This record from Alexandria via LeMat-Bulk describes a relaxed ReBPd3 crystal. The functional is PBE.

crystal system: cubic
calculated formation energy: 0.572 eV per atom

Cell: 4.181 4.181 4.181 Å, 90.00 90.00 90.00°
Positions (direct):
Re 0.500 0.500 0.500
B 0.000 0.000 0.000
Pd 0.000 0.500 0.000
Pd 0.000 0.000 0.500
Pd 0.500 0.000 0.000



4.
This record from Alexandria via LeMat-Bulk describes a relaxed ReB3Pd crystal. The functional is PBE.

crystal system: cubic
calculated formation energy: 1.112 eV per atom

Cell: 4.083 4.083 4.083 Å, 90.00 90.00 90.00°
Positions (direct):
Re 0.000 0.000 0.000
B 0.000 0.500 0.000
B 0.000 0.000 0.500
B 0.500 0.000 0.000
Pd 0.500 0.500 0.500



5.
This record from Alexandria via LeMat-Bulk describes a relaxed ReBPd3 crystal. The functional is PBE.

crystal system: cubic
calculated formation energy: 2.067 eV per atom

Cell: 4.812 4.812 4.812 Å, 90.00 90.00 90.00°
Positions (direct):
Re 0.000 0.000 0.000
B 0.500 0.500 0.500
Pd 0.000 0.500 0.000
Pd 0.000 0.000 0.500
Pd 0.500 0.000 0.000



6.
This record from Alexandria via LeMat-Bulk describes a relaxed Re3BPd crystal. The functional is PBE.

crystal system: cubic
calculated formation energy: 0.322 eV per atom

Cell: 4.112 4.112 4.112 Å, 90.00 90.00 90.00°
Positions (direct):
Re 0.000 0.500 0.000
Re 0.000 0.000 0.500
Re 0.500 0.000 0.000
B 0.000 0.000 0.000
Pd 0.500 0.500 0.500



7.
This record from Alexandria via LeMat-Bulk describes a relaxed Re2SnBPd crystal. The functional is PBE.

crystal system: tetragonal
calculated formation energy: 2.736 eV per atom

Cell: 5.004 4.055 5.004 Å, 90.00 90.00 90.00°
Positions (direct):
Re 0.000 0.000 0.500
Re 0.500 0.000 0.000
B 0.000 0.500 0.000
Sn 0.000 0.000 0.000
Pd 0.500 0.500 0.500



8.
This record from Alexandria via LeMat-Bulk describes a relaxed BPdRh2 crystal. The functional is PBE.

crystal system: orthorhombic
calculated formation energy: -0.089 eV per atom

Cell: 5.601 7.025 5.265 Å, 90.00 90.00 90.00°
Positions (direct):
B 0.063 0.081 0.144
B 0.563 0.919 0.856
B 0.563 0.581 0.356
B 0.063 0.419 0.644
Pd 0.063 0.503 0.020
Pd 0.563 0.497 0.980
Pd 0.563 0.003 0.480
Pd 0.063 0.997 0.520
Rh 0.808 0.175 0.887
Rh 0.308 0.825 0.113
Rh 0.308 0.675 0.613
Rh 0.808 0.325 0.387
Rh 0.317 0.175 0.887
Rh 0.817 0.825 0.113
Rh 0.817 0.675 0.613
Rh 0.317 0.325 0.387